1.
Th4GaSbAs2: relaxed, PBE-GGA.

abc: 4.333 7.497 7.549
angles: 70.67 90.00 90.00
Fractional coordinates of all 8 atoms:
1 Th 0.000 0.763 0.736
2 As 0.500 0.000 0.500
3 Th 0.500 0.756 0.256
4 Th 0.500 0.244 0.744
5 Sb 0.500 0.500 0.000
6 As 0.000 0.000 0.000
7 Ga 0.000 0.500 0.500
8 Th 0.000 0.237 0.264

Output
Uncorrected formation energy = -7.92 eV per formula unit
Crystal system = monoclinic

---

2.
RbTlCdHg: relaxed, PBE-GGA.

abc: 5.727 5.727 5.727
angles: 60.00 60.00 60.00
Fractional coordinates of all 4 atoms:
1 Rb 0.500 0.500 0.500
2 Cd 0.750 0.750 0.750
3 Tl 0.000 0.000 0.000
4 Hg 0.250 0.250 0.250

Output
E_form = -0.036 eV/atom
Crystal system = cubic

---

3.
K2ThTaO6: relaxed, PBE-GGA.

abc: 6.106 6.106 6.104
angles: 60.01 60.01 90.00
Site moments in Bohr magnetons follow the coordinates.
Fractional coordinates of all 10 atoms:
1 O 0.232 0.767 0.000  0.16
2 O 0.232 0.232 0.535  0.15
3 O 0.232 0.232 0.000  0.16
4 K 0.750 0.250 0.500  0.00
5 O 0.768 0.768 0.000  0.16
6 O 0.768 0.233 0.000  0.16
7 O 0.768 0.768 0.465  0.15
8 K 0.250 0.750 0.500  0.00
9 Th 0.500 0.500 0.000  -0.02
10 Ta 0.000 0.000 0.000  -0.05

Output
Uncorrected formation energy = -26.41 eV per formula unit
Crystal system = cubic

---

4.
NdAl2Au5: relaxed, PBE-GGA.

abc: 4.121 6.808 6.808
angles: 64.27 72.38 72.38
Fractional coordinates of all 8 atoms:
1 Nd 0.000 0.000 0.000
2 Au 0.000 0.500 0.500
3 Au 0.638 0.569 0.155
4 Au 0.362 0.845 0.431
5 Al 0.759 0.741 0.741
6 Au 0.638 0.155 0.569
7 Al 0.241 0.259 0.259
8 Au 0.362 0.431 0.845

Output
E_form = -0.510 eV/atom
Crystal system = orthorhombic

---

5.
DyTc4: relaxed, PBE-GGA.

abc: 4.719 4.719 4.719
angles: 90.00 90.00 90.00
Site moments in Bohr magnetons follow the coordinates.
Fractional coordinates of all 5 atoms:
1 Tc 0.500 0.500 0.000  -0.35
2 Tc 0.000 0.500 0.500  -0.35
3 Dy 0.500 0.500 0.500  0.10
4 Tc 0.500 0.000 0.500  -0.35
5 Tc 0.000 0.000 0.000  2.83

Output
E_form = 2.547 eV/atom
Crystal system = cubic

---

6.
Sr2TcPb: relaxed, PBE-GGA.

abc: 10.724 10.724 10.724
angles: 19.70 19.70 19.70
Site moments in Bohr magnetons follow the coordinates.
Fractional coordinates of all 4 atoms:
1 Pb 0.750 0.750 0.750  0.01
2 Tc 0.250 0.250 0.250  1.72
3 Sr 0.991 0.991 0.991  -0.02
4 Sr 0.509 0.509 0.509  -0.02

Output
E_form = 0.559 eV/atom
Crystal system = trigonal

---

no.,final energy (Ry per atom)
1,-0.4966
2,-0.0863
3,-0.5705
4,-0.3006
5,-0.4900
6,-0.2793